Entry 1:
First-principles (PBE-GGA) data for an optimized crystal structure of MgZr2Ag, as listed in Alexandria via LeMat-Bulk.

Cell: 5.339 5.339 3.228 Å, 90.00 90.00 113.91°
Fractional coordinates of all 4 atoms:
Mg 0.000 0.000 0.000
Zr 0.000 0.500 0.500
Zr 0.500 0.000 0.500
Ag 0.500 0.500 0.000

Size of the total moment in μB/f.u.: 0.00
DOS at the Fermi energy in states/eV per cell: 4.6
SG: No. 65
Total energy in eV per atom: -5.34

=====

Entry 2:
First-principles (PBE-GGA) data for an optimized crystal structure of MgZr4Ag, as listed in Alexandria via LeMat-Bulk.

Cell: 3.132 3.132 13.639 Å, 90.00 90.00 90.00°
Fractional coordinates of all 6 atoms:
Mg 0.000 0.000 0.000
Zr 0.000 0.000 0.345
Zr 0.000 0.000 0.655
Zr 0.500 0.500 0.181
Zr 0.500 0.500 0.819
Ag 0.500 0.500 0.500

Size of the total moment in μB/f.u.: 0.00
DOS at the Fermi energy in states/eV per cell: 5.5
SG: No. 123
Total energy in eV per atom: -6.49

=====

Entry 3:
First-principles (PBE-GGA) data for an optimized crystal structure of MgZr2Ag, as listed in Alexandria via LeMat-Bulk.

Cell: 2.920 5.286 5.520 Å, 90.00 101.37 90.00°
Fractional coordinates of all 4 atoms:
Mg 0.000 0.000 0.000
Zr 0.237 0.500 0.752
Zr 0.763 0.500 0.248
Ag 0.500 0.000 0.500

Size of the total moment in μB/f.u.: 0.00
DOS at the Fermi energy in states/eV per cell: 3.8
SG: No. 10
Total energy in eV per atom: -5.33

=====

Entry 4:
First-principles (PBE-GGA) data for an optimized crystal structure of MgZrAg, as listed in Alexandria via LeMat-Bulk.

Cell: 6.655 6.655 6.655 Å, 152.94 152.94 38.64°
Fractional coordinates of all 3 atoms:
Mg 0.000 0.000 0.000
Zr 0.686 0.686 0.000
Ag 0.353 0.353 0.000

Size of the total moment in μB/f.u.: 0.00
DOS at the Fermi energy in states/eV per cell: 3.2
SG: No. 107
Total energy in eV per atom: -4.38

=====

Repeat the fourth record exactly.
First-principles (PBE-GGA) data for an optimized crystal structure of MgZrAg, as listed in Alexandria via LeMat-Bulk.

Cell: 6.655 6.655 6.655 Å, 152.94 152.94 38.64°
Fractional coordinates of all 3 atoms:
Mg 0.000 0.000 0.000
Zr 0.686 0.686 0.000
Ag 0.353 0.353 0.000

Size of the total moment in μB/f.u.: 0.00
DOS at the Fermi energy in states/eV per cell: 3.2
SG: No. 107
Total energy in eV per atom: -4.38

=====

Copy entry 3 word for word.
First-principles (PBE-GGA) data for an optimized crystal structure of MgZr2Ag, as listed in Alexandria via LeMat-Bulk.

Cell: 2.920 5.286 5.520 Å, 90.00 101.37 90.00°
Fractional coordinates of all 4 atoms:
Mg 0.000 0.000 0.000
Zr 0.237 0.500 0.752
Zr 0.763 0.500 0.248
Ag 0.500 0.000 0.500

Size of the total moment in μB/f.u.: 0.00
DOS at the Fermi energy in states/eV per cell: 3.8
SG: No. 10
Total energy in eV per atom: -5.33

=====

Which of these has the highest DOS at the Fermi energy? MgZr4Ag